Record 1
A relaxed structure of PuCrTcW. Source: the Alexandria database, functional PBE.

- DFT formation energy (eV per atom) = 0.248
- total DFT energy (no corrections) (eV per atom) = -11.571

abc: 4.5126 4.5126 4.5126
angles: 60.00 60.00 60.00
With the nearest neighbours (Å) after each atom.
Atoms (fractional coordinates):
1 Tc 0.5000 0.5000 0.5000  4 W 2.76, 4 Pu 2.76
2 Cr 0.0000 0.0000 0.0000  4 W 2.76, 4 Pu 2.76
3 W 0.2500 0.2500 0.2500  4 Tc 2.76, 4 Cr 2.76
4 Pu 0.7500 0.7500 0.7500  4 Cr 2.76, 4 Tc 2.76

Record 2
A relaxed structure of PuCrTe3. Source: the Alexandria database, functional PBE.

- energy relative to the lowest polymorph listed for this composition (kJ per mole of atoms) = 2.3
- formation energy (no corrections) (meV/atom) = -568
- total DFT energy (no corrections) (eV per atom) = -7.244

abc: 6.2012 7.6288 11.8495
angles: 90.00 90.00 90.00
With the nearest neighbours (Å) after each atom.
Atoms (fractional coordinates):
1 Te 0.2500 0.0714 0.2408  2 Cr 2.84, 1 Pu 3.04
2 Te 0.7500 0.4286 0.2408  2 Cr 2.84, 1 Pu 3.04
3 Te 0.7500 0.9295 0.0851  4 Cr 2.81-2.90
4 Te 0.5000 0.2500 0.5414  2 Te 3.10, 4 Pu 3.16-3.20
5 Te 0.7500 0.4295 0.9149  4 Cr 2.81-2.90
6 Te 0.2500 0.0705 0.9149  4 Cr 2.81-2.90
7 Cr 0.5000 0.7500 0.9242  6 Te 2.81-2.90, 2 Cr 3.10
8 Cr 0.5000 0.2500 0.0758  6 Te 2.81-2.90, 2 Cr 3.10
9 Te 0.5000 0.7500 0.4586  2 Te 3.10, 4 Pu 3.16-3.20
10 Pu 0.2500 0.4401 0.3389  8 Te 3.04-3.31
11 Cr 0.0000 0.7500 0.9242  6 Te 2.81-2.90, 2 Cr 3.10
12 Te 0.0000 0.7500 0.4586  2 Te 3.10, 4 Pu 3.16-3.20
13 Te 0.7500 0.9286 0.7592  2 Cr 2.84, 1 Pu 3.04
14 Pu 0.7500 0.5599 0.6611  8 Te 3.04-3.31
15 Pu 0.2500 0.9401 0.6611  8 Te 3.04-3.31
16 Te 0.0000 0.2500 0.5414  2 Te 3.10, 4 Pu 3.16-3.20
17 Te 0.2500 0.5714 0.7592  2 Cr 2.84, 1 Pu 3.04
18 Cr 0.0000 0.2500 0.0758  6 Te 2.81-2.90, 2 Cr 3.10
19 Pu 0.7500 0.0599 0.3389  8 Te 3.04-3.31
20 Te 0.2500 0.5705 0.0851  4 Cr 2.81-2.90

Record 3
A relaxed structure of PuCrTe2. Source: the Alexandria database, functional PBE.

- formation energy (no corrections) (meV/atom) = -74
- total DFT energy (no corrections) (eV per atom) = -7.633

abc: 3.8119 3.8119 9.7051
angles: 78.67 78.67 60.00
With the nearest neighbours (Å) after each atom.
Atoms (fractional coordinates):
1 Te 0.8896 0.8896 0.3311  3 Cr 2.72
2 Te 0.1104 0.1104 0.6689  3 Cr 2.72
3 Cr 0.5000 0.5000 0.5000  6 Te 2.72
4 Pu 0.0000 0.0000 0.0000  2 Te 3.13

Record 4
A relaxed structure of PuCrTe3. Source: the Alexandria database, functional PBE.

- energy relative to the lowest polymorph listed for this composition (kJ per mole of atoms) = 0.0
- formation energy (no corrections) (meV/atom) = -592
- total DFT energy (no corrections) (eV per atom) = -7.268

abc: 4.1550 7.6606 8.7434
angles: 94.51 90.00 90.00
With the nearest neighbours (Å) after each atom.
Atoms (fractional coordinates):
1 Te 0.2500 0.9088 0.6568  3 Cr 2.77-2.78
2 Pu 0.2500 0.3780 0.2115  8 Te 3.11-3.42
3 Pu 0.7500 0.6220 0.7885  8 Te 3.11-3.42
4 Te 0.2500 0.3725 0.6018  2 Cr 2.77
5 Cr 0.2500 0.8516 0.3394  6 Te 2.69-2.78
6 Te 0.7500 0.0912 0.3432  3 Cr 2.77-2.78
7 Te 0.7500 0.2665 0.9583  1 Cr 2.69
8 Cr 0.7500 0.1484 0.6606  6 Te 2.69-2.78
9 Te 0.2500 0.7335 0.0417  1 Cr 2.69
10 Te 0.7500 0.6275 0.3982  2 Cr 2.77

Record 5
A relaxed structure of PuTiCr4. Source: the Alexandria database, functional PBE.

- DFT formation energy (eV per atom) = 0.234
- total DFT energy (no corrections) (eV per atom) = -9.886

abc: 4.9749 4.9749 4.9749
angles: 60.00 60.00 60.00
With the nearest neighbours (Å) after each atom.
Atoms (fractional coordinates):
1 Cr 0.6255 0.6255 0.1235  6 Cr 2.48-2.50
2 Pu 0.2500 0.2500 0.2500  12 Cr 2.92, 4 Ti 3.05
3 Ti 0.0000 0.0000 0.0000  12 Cr 2.92, 4 Pu 3.05
4 Cr 0.6255 0.1235 0.6255  6 Cr 2.48-2.50
5 Cr 0.1235 0.6255 0.6255  6 Cr 2.48-2.50
6 Cr 0.6255 0.6255 0.6255  6 Cr 2.48-2.50

Record 6
A relaxed structure of Pu2TlCr. Source: the Alexandria database, functional PBE.

- DFT formation energy (eV per atom) = 0.169
- total DFT energy (no corrections) (eV per atom) = -9.994

abc: 3.1892 3.1892 8.8650
angles: 90.00 90.00 90.00
With the nearest neighbours (Å) after each atom.
Atoms (fractional coordinates):
1 Pu 0.0000 0.0000 0.7935  4 Cr 2.90, 4 Pu 3.19
2 Tl 0.5000 0.5000 0.5000  4 Tl 3.19, 8 Pu 3.44
3 Cr 0.5000 0.5000 0.0000  8 Pu 2.90, 4 Cr 3.19
4 Pu 0.0000 0.0000 0.2065  4 Cr 2.90, 4 Pu 3.19

Record 7
A relaxed structure of PuUCr. Source: the Alexandria database, functional PBE.

- energy relative to the lowest polymorph listed for this composition (kJ per mole of atoms) = 27.1
- DFT formation energy (eV per atom) = 0.505
- total DFT energy (no corrections) (eV per atom) = -11.243

abc: 3.7735 4.6124 6.7021
angles: 102.93 90.00 114.15
With the nearest neighbours (Å) after each atom.
Atoms (fractional coordinates):
1 Pu 0.6148 0.2296 0.3116  4 U 2.52-2.55
2 U 0.6868 0.3735 0.7035  3 Cr 2.44-2.64, 4 Pu 2.52-2.55
3 Pu 0.3852 0.7704 0.6884  4 U 2.52-2.55
4 U 0.3132 0.6265 0.2965  3 Cr 2.44-2.64, 4 Pu 2.52-2.55
5 Cr 0.1300 0.2600 0.9531  1 Cr 2.42, 3 U 2.44-2.64
6 Cr 0.8700 0.7400 0.0469  1 Cr 2.42, 3 U 2.44-2.64

Record 8
A relaxed structure of PuUCr. Source: the Alexandria database, functional PBE.

- energy relative to the lowest polymorph listed for this composition (kJ per mole of atoms) = 0.0
- DFT formation energy (eV per atom) = 0.224
- total DFT energy (no corrections) (eV per atom) = -11.524

abc: 3.3627 3.3627 5.3451
angles: 108.33 108.33 90.00
With the nearest neighbours (Å) after each atom.
Atoms (fractional coordinates):
1 Pu 0.3301 0.3301 0.6602  5 U 2.87-3.19, 5 Cr 2.92-3.09
2 U 0.6630 0.6630 0.3260  4 Cr 2.81, 4 Pu 2.87
3 Cr 0.0069 0.0069 0.0138  4 U 2.81, 5 Pu 2.92-3.09

Record 9
A relaxed structure of PuV2Cr. Source: the Alexandria database, functional PBE.

- energy relative to the lowest polymorph listed for this composition (kJ per mole of atoms) = 6.2
- DFT formation energy (eV per atom) = 0.254
- total DFT energy (no corrections) (eV per atom) = -10.294

abc: 4.3710 4.3710 4.3697
angles: 59.99 59.99 60.00
With the nearest neighbours (Å) after each atom.
Atoms (fractional coordinates):
1 V 0.2500 0.2500 0.2500  4 Cr 2.68, 4 Pu 2.68
2 Cr 0.0000 0.0000 0.0000  8 V 2.68
3 V 0.7500 0.7500 0.7500  4 Cr 2.68, 4 Pu 2.68
4 Pu 0.5000 0.5000 0.5000  8 V 2.68

Record 10
A relaxed structure of PuV2Cr. Source: the Alexandria database, functional PBE.

- energy relative to the lowest polymorph listed for this composition (kJ per mole of atoms) = 0.0
- DFT formation energy (eV per atom) = 0.189
- total DFT energy (no corrections) (eV per atom) = -10.359

abc: 2.9393 2.9393 7.1025
angles: 90.00 90.00 90.00
With the nearest neighbours (Å) after each atom.
Atoms (fractional coordinates):
1 V 0.0000 0.0000 0.1979  4 Cr 2.51
2 Pu 0.5000 0.5000 0.5000  4 Pu 2.94, 8 V 2.99
3 V 0.0000 0.0000 0.8021  4 Cr 2.51
4 Cr 0.5000 0.5000 0.0000  8 V 2.51

Record 11
A relaxed structure of PuZn4Cr. Source: the Alexandria database, functional PBE.

- DFT formation energy (eV per atom) = 0.072
- total DFT energy (no corrections) (eV per atom) = -4.770

abc: 5.2581 5.2581 5.2581
angles: 60.00 60.00 60.00
With the nearest neighbours (Å) after each atom.
Atoms (fractional coordinates):
1 Zn 0.6258 0.6258 0.6258  6 Zn 2.61-2.65
2 Zn 0.1225 0.6258 0.6258  6 Zn 2.61-2.65
3 Cr 0.0000 0.0000 0.0000  12 Zn 3.08, 4 Pu 3.22
4 Zn 0.6258 0.1225 0.6258  6 Zn 2.61-2.65
5 Zn 0.6258 0.6258 0.1225  6 Zn 2.61-2.65
6 Pu 0.2500 0.2500 0.2500  12 Zn 3.08, 4 Cr 3.22

Record 12
A relaxed structure of PuZr2Cr. Source: the Alexandria database, functional PBE.

- energy relative to the lowest polymorph listed for this composition (kJ per mole of atoms) = 39.3
- DFT formation energy (eV per atom) = 0.607
- total DFT energy (no corrections) (eV per atom) = -9.656

abc: 3.1557 3.1557 10.6934
angles: 81.51 81.51 60.00
With the nearest neighbours (Å) after each atom.
Atoms (fractional coordinates):
1 Cr 0.5000 0.5000 0.5000  2 Zr 2.60
2 Zr 0.4177 0.4177 0.7470  1 Cr 2.60
3 Zr 0.5823 0.5823 0.2530  1 Cr 2.60
4 Pu 0.0000 0.0000 0.0000  6 Pu 3.16, 6 Zr 3.23